This record from the Alexandria database describes a crystal of PdI3Br relaxed with PBEsol. The functional is SCAN.

spin magnetization = 0.02 μB/f.u.
total energy = -32.319 eV/atom
formation energy (no corrections) = 0.1728 eV per atom

The structure in CIF format:
```
data_PdI3Br
_chemical_formula_sum 'Pd1 I3 Br1'
_space_group_name_H-M_alt 'P m -3 m'
_space_group_IT_number 221
_space_group_name_Hall '-P 4 2 3'
_cell_length_a 5.350
_cell_length_b 5.350
_cell_length_c 5.350
_cell_angle_alpha 90.00
_cell_angle_beta 90.00
_cell_angle_gamma 90.00
loop_
_atom_site_label
_atom_site_fract_x
_atom_site_fract_y
_atom_site_fract_z
_atom_site_occupancy
Pd1 0.000 0.000 0.000 1
I1 0.000 0.000 0.500 1
Br1 0.500 0.500 0.500 1
```

This record from the Alexandria database describes a crystal of TePtI2Br relaxed with PBEsol. The functional is SCAN.

spin magnetization = 1.54 μB/f.u.
total energy = -38.675 eV/atom
formation energy (no corrections) = 1.4028 eV per atom

The structure in CIF format:
```
data_TePtI2Br
_chemical_formula_sum 'Te1 Pt1 I2 Br1'
_space_group_name_H-M_alt 'P 4/m m m'
_space_group_IT_number 123
_space_group_name_Hall '-P 4 2'
_cell_length_a 5.594
_cell_length_b 5.594
_cell_length_c 5.509
_cell_angle_alpha 90.00
_cell_angle_beta 90.00
_cell_angle_gamma 90.00
loop_
_atom_site_label
_atom_site_fract_x
_atom_site_fract_y
_atom_site_fract_z
_atom_site_occupancy
Te1 0.000 0.000 0.000 1
Pt1 0.500 0.500 0.000 1
I1 0.000 0.500 0.500 1
Br1 0.000 0.000 0.500 1
```

This record from the Alexandria database describes a crystal of Rb2IBr relaxed with PBEsol. The functional is SCAN.

spin magnetization = 0.07 μB/f.u.
total energy = -26.112 eV/atom
excess energy over the best structure of this formula in the dataset = 77 meV per atom
formation energy (no corrections) = -1.6918 eV per atom

The structure in CIF format:
```
data_Rb2IBr
_chemical_formula_sum 'Rb8 I4 Br4'
_space_group_name_H-M_alt 'I -4 2 d'
_space_group_IT_number 122
_space_group_name_Hall 'I -4 2bw'
_cell_length_a 9.000
_cell_length_b 9.000
_cell_length_c 9.823
_cell_angle_alpha 90.00
_cell_angle_beta 90.00
_cell_angle_gamma 90.00
loop_
_atom_site_label
_atom_site_fract_x
_atom_site_fract_y
_atom_site_fract_z
_atom_site_occupancy
Rb1 0.228 0.750 0.125 1
I1 0.000 0.000 0.500 1
Br1 0.000 0.000 0.000 1
```

This record from the Alexandria database describes a crystal of RbI2Br2 relaxed with PBEsol. The functional is SCAN.

spin magnetization = 0.00 μB/f.u.
total energy = -27.336 eV/atom
formation energy (no corrections) = -0.7078 eV per atom

The structure in CIF format:
```
data_RbI2Br2
_chemical_formula_sum 'Rb2 I4 Br4'
_space_group_name_H-M_alt 'P 4/m b m'
_space_group_IT_number 127
_space_group_name_Hall '-P 4 2ab'
_cell_length_a 8.911
_cell_length_b 8.911
_cell_length_c 5.598
_cell_angle_alpha 90.00
_cell_angle_beta 90.00
_cell_angle_gamma 90.00
loop_
_atom_site_label
_atom_site_fract_x
_atom_site_fract_y
_atom_site_fract_z
_atom_site_occupancy
Rb1 0.000 0.000 0.000 1
I1 0.186 0.314 0.500 1
Br1 0.153 0.347 0.000 1
```

This record from the Alexandria database describes a crystal of Rb2IBr relaxed with PBEsol. The functional is SCAN.

spin magnetization = 0.00 μB/f.u.
total energy = -26.189 eV/atom
excess energy over the best structure of this formula in the dataset = 0 meV per atom
formation energy (no corrections) = -1.7691 eV per atom

The structure in CIF format:
```
data_Rb2IBr
_chemical_formula_sum 'Rb8 I4 Br4'
_space_group_name_H-M_alt 'F m -3 m'
_space_group_IT_number 225
_space_group_name_Hall '-F 4 2 3'
_cell_length_a 8.448
_cell_length_b 8.448
_cell_length_c 8.448
_cell_angle_alpha 90.00
_cell_angle_beta 90.00
_cell_angle_gamma 90.00
loop_
_atom_site_label
_atom_site_fract_x
_atom_site_fract_y
_atom_site_fract_z
_atom_site_occupancy
Rb1 0.250 0.250 0.250 1
I1 0.000 0.000 0.000 1
Br1 0.000 0.000 0.500 1
```

This record from the Alexandria database describes a crystal of RbSeI2Br relaxed with PBEsol. The functional is SCAN.

spin magnetization = 0.00 μB/f.u.
total energy = -27.438 eV/atom
formation energy (no corrections) = -0.6856 eV per atom

The structure in CIF format:
```
data_RbSeI2Br
_chemical_formula_sum 'Rb1 Se1 I2 Br1'
_space_group_name_H-M_alt 'P 4/m m m'
_space_group_IT_number 123
_space_group_name_Hall '-P 4 2'
_cell_length_a 5.745
_cell_length_b 5.745
_cell_length_c 5.495
_cell_angle_alpha 90.00
_cell_angle_beta 90.00
_cell_angle_gamma 90.00
loop_
_atom_site_label
_atom_site_fract_x
_atom_site_fract_y
_atom_site_fract_z
_atom_site_occupancy
Rb1 0.000 0.000 0.000 1
Se1 0.500 0.500 0.500 1
I1 0.000 0.500 0.500 1
Br1 0.500 0.500 0.000 1
```

This record from the Alexandria database describes a crystal of Rb2TeIBr relaxed with PBEsol. The functional is SCAN.

spin magnetization = 0.00 μB/f.u.
total energy = -27.947 eV/atom
formation energy (no corrections) = -0.9611 eV per atom

The structure in CIF format:
```
data_Rb2TeIBr
_chemical_formula_sum 'Rb2 Te1 I1 Br1'
_space_group_name_H-M_alt 'P 4/m m m'
_space_group_IT_number 123
_space_group_name_Hall '-P 4 2'
_cell_length_a 6.902
_cell_length_b 6.902
_cell_length_c 5.778
_cell_angle_alpha 90.00
_cell_angle_beta 90.00
_cell_angle_gamma 90.00
loop_
_atom_site_label
_atom_site_fract_x
_atom_site_fract_y
_atom_site_fract_z
_atom_site_occupancy
Rb1 0.000 0.500 0.000 1
Te1 0.000 0.000 0.000 1
I1 0.000 0.000 0.500 1
Br1 0.500 0.500 0.500 1
```

This record from the Alexandria database describes a crystal of ReI2Br relaxed with PBEsol. The functional is SCAN.

spin magnetization = 0.00 μB/f.u.
total energy = -40.306 eV/atom
formation energy (no corrections) = 0.7039 eV per atom

The structure in CIF format:
```
data_ReI2Br
_chemical_formula_sum 'Re4 I8 Br4'
_space_group_name_H-M_alt 'I -4 2 d'
_space_group_IT_number 122
_space_group_name_Hall 'I -4 2bw'
_cell_length_a 7.546
_cell_length_b 7.546
_cell_length_c 8.856
_cell_angle_alpha 90.00
_cell_angle_beta 90.00
_cell_angle_gamma 90.00
loop_
_atom_site_label
_atom_site_fract_x
_atom_site_fract_y
_atom_site_fract_z
_atom_site_occupancy
Re1 0.000 0.000 0.000 1
I1 0.171 0.750 0.125 1
Br1 0.000 0.000 0.500 1
```

Q: Which of these has the highest total energy?
A: number 3

Q: Which value of formation energy (no corrections) does entry 8 give?
A: 0.7039 eV per atom